No. 1
Entry from Alexandria: ZrNiAg2 after structural relaxation (PBE-GGA).

Calculated values
E above lowest polymorph = 419 meV/atom
energy of formation from the pure elements = 0.345 eV per atom
N(E_F) = 1.209 states/eV/atom
energy = -4.6632 eV per atom

CIF file:
```
data_ZrNiAg2
_cell_length_a 7.5468
_cell_length_b 7.5468
_cell_length_c 5.2438
_cell_angle_alpha 90.00
_cell_angle_beta 90.00
_cell_angle_gamma 90.00
_space_group_name_H-M_alt 'I -4 2 d'
_space_group_IT_number 122
_space_group_name_Hall 'I -4 2bw'
loop_
_atom_site_label
_atom_site_type_symbol
_atom_site_fract_x
_atom_site_fract_y
_atom_site_fract_z
Zr1 Zr 0.0000 0.0000 0.0000
Ni1 Ni 0.0000 0.0000 0.5000
Ag1 Ag 0.2057 0.7500 0.6250
```


No. 2
Entry from Alexandria: ZrNiAg2 after structural relaxation (PBE-GGA).

Calculated values
E above lowest polymorph = 132 meV/atom
energy of formation from the pure elements = 0.058 eV per atom
N(E_F) = 0.739 states/eV/atom
energy = -4.9497 eV per atom

CIF file:
```
data_ZrNiAg2
_cell_length_a 2.8624
_cell_length_b 4.7164
_cell_length_c 5.2028
_cell_angle_alpha 90.00
_cell_angle_beta 101.26
_cell_angle_gamma 90.00
_space_group_name_H-M_alt 'P 1 2/m 1'
_space_group_IT_number 10
loop_
_space_group_symop_operation_xyz
'x,y,z'
'-x,-y,-z'
'-x,y,-z'
'x,-y,z'
loop_
_atom_site_label
_atom_site_type_symbol
_atom_site_fract_x
_atom_site_fract_y
_atom_site_fract_z
Zr1 Zr 0.0000 0.0000 0.0000
Ni1 Ni 0.5000 0.0000 0.5000
Ag1 Ag 0.3362 0.5000 0.7334
```


> The lowest E above lowest polymorph belongs to which entry?

number 2